1.
VASP calculation (PBE) on BeBiRu2 after structural relaxation.

The structure belongs to space group I-42d (No. 122); the cell edges are 4.163, 4.163 and 16.531 Å and the angles 90.00°, 90.00° and 90.00°. The asymmetric unit holds Be at (0.000, 0.000, 0.000), Bi at (0.000, 0.000, 0.500) and Ru at (0.159, 0.250, 0.125).

For the density of states at the Fermi level, the calculation gives 1.084 states/eV/atom. The calculated density comes out at 9.7 Mg/m³. As for the magnetic moment: 0.000 μB per formula unit.


2.
VASP calculation (PBE) on BeBiRu2 after structural relaxation.

The structure belongs to space group Fm-3m (No. 225); the cell edges are 6.228, 6.228 and 6.228 Å and the angles 90.00°, 90.00° and 90.00°. The asymmetric unit holds Be at (0.000, 0.000, 0.000), Bi at (0.000, 0.000, 0.500) and Ru at (0.250, 0.250, 0.250).

For the density of states at the Fermi level, the calculation gives 0.380 states/eV/atom. The calculated density comes out at 11.6 Mg/m³. As for the magnetic moment: 0.000 μB per formula unit.


2 is the most stable structure; the next one sits 286 meV/atom above it.


1.
VASP calculation (PBE) on Be2BiRu2 after structural relaxation.

The structure belongs to space group P4/mbm (No. 127); the cell edges are 6.849, 6.849 and 3.083 Å and the angles 90.00°, 90.00° and 90.00°. The asymmetric unit holds Be at (0.122, 0.378, 0.000), Bi at (0.000, 0.000, 0.500) and Ru at (0.150, 0.650, 0.500).

For the density of states at the Fermi level, the calculation gives 0.846 states/eV/atom. The calculated density comes out at 9.9 Mg/m³. As for the magnetic moment: 0.000 μB per formula unit.


2.
VASP calculation (PBE) on Be2BiRu2 after structural relaxation.

The structure belongs to space group P4/mbm (No. 127); the cell edges are 6.611, 6.611 and 3.132 Å and the angles 90.00°, 90.00° and 90.00°. The asymmetric unit holds Be at (0.114, 0.386, 0.000), Bi at (0.000, 0.000, 0.000) and Ru at (0.160, 0.660, 0.500).

For the density of states at the Fermi level, the calculation gives 0.625 states/eV/atom. The calculated density comes out at 10.4 Mg/m³. As for the magnetic moment: 0.000 μB per formula unit.


2 is the most stable structure; the next one sits 92 meV/atom above it.


1.
VASP calculation (PBE) on Be2BiS2 after structural relaxation.

The structure belongs to space group I4/mmm (No. 139); the cell edges are 3.368, 3.368 and 23.752 Å and the angles 90.00°, 90.00° and 90.00°. The asymmetric unit holds Be at (0.000, 0.500, 0.250), Bi at (0.000, 0.000, 0.000) and S at (0.000, 0.000, 0.303).

For the density of states at the Fermi level, the calculation gives 0.372 states/eV/atom. The calculated density comes out at 3.6 Mg/m³. As for the magnetic moment: 0.000 μB per formula unit.


2.
VASP calculation (PBE) on Be2BiS2 after structural relaxation.

The structure belongs to space group P4/mbm (No. 127); the cell edges are 7.580, 7.580 and 3.157 Å and the angles 90.00°, 90.00° and 90.00°. The asymmetric unit holds Be at (0.096, 0.404, 0.000), Bi at (0.000, 0.000, 0.500) and S at (0.132, 0.632, 0.500).

For the density of states at the Fermi level, the calculation gives 0.345 states/eV/atom. The calculated density comes out at 5.3 Mg/m³. As for the magnetic moment: 0.000 μB per formula unit.


1 is the most stable structure; the next one sits 931 meV/atom above it.


1.
VASP calculation (PBE) on BeBiS2 after structural relaxation.

The structure belongs to space group Fm-3m (No. 225); the cell edges are 6.689, 6.689 and 6.689 Å and the angles 90.00°, 90.00° and 90.00°. The asymmetric unit holds Be at (0.000, 0.000, 0.000), Bi at (0.000, 0.000, 0.500) and S at (0.250, 0.250, 0.250).

For the density of states at the Fermi level, the calculation gives 0.490 states/eV/atom. The calculated density comes out at 6.3 Mg/m³. As for the magnetic moment: 0.000 μB per formula unit.


2.
VASP calculation (PBE) on BeBiS2 after structural relaxation.

The structure belongs to space group R-3m (No. 166, hexagonal axes); the cell edges are 3.4164, 3.4164 and 23.3562 Å and the angles 90.00°, 90.00° and 120.00°. The asymmetric unit holds Be at (0.0000, 0.0000, 0.0000), Bi at (0.0000, 0.0000, 0.5000) and S at (0.0000, 0.0000, 0.3834).

For the density of states at the Fermi level, the calculation gives 0.762 states/eV/atom. The calculated density comes out at 6.0 Mg/m³. As for the magnetic moment: 0.000 μB per formula unit.


2 is the most stable structure; the next one sits 580 meV/atom above it.


1.
VASP calculation (PBE) on BeBi3Sb after structural relaxation.

The structure belongs to space group Pm-3m (No. 221); the cell edges are 5.166, 5.166 and 5.166 Å and the angles 90.00°, 90.00° and 90.00°. The asymmetric unit holds Be at (0.000, 0.000, 0.000), Bi at (0.000, 0.000, 0.500) and Sb at (0.500, 0.500, 0.500).

For the density of states at the Fermi level, the calculation gives 1.010 states/eV/atom. The calculated density comes out at 9.1 Mg/m³. As for the magnetic moment: 0.000 μB per formula unit.


2.
VASP calculation (PBE) on BeBi3Sb after structural relaxation.

The structure belongs to space group Pm-3m (No. 221); the cell edges are 5.859, 5.859 and 5.859 Å and the angles 90.00°, 90.00° and 90.00°. The asymmetric unit holds Be at (0.000, 0.000, 0.000), Bi at (0.000, 0.500, 0.500) and Sb at (0.500, 0.500, 0.500).

For the density of states at the Fermi level, the calculation gives 1.006 states/eV/atom. The calculated density comes out at 6.3 Mg/m³. As for the magnetic moment: 0.000 μB per formula unit.


1 is the most stable structure; the next one sits 810 meV/atom above it.


1.
VASP calculation (PBE) on BeBi2Sb after structural relaxation.

The structure belongs to space group I-42d (No. 122); the cell edges are 6.374, 6.374 and 12.801 Å and the angles 90.00°, 90.00° and 90.00°. The asymmetric unit holds Be at (0.000, 0.000, 0.000), Bi at (0.177, 0.250, 0.125) and Sb at (0.000, 0.000, 0.500).

For the density of states at the Fermi level, the calculation gives 0.592 states/eV/atom. The calculated density comes out at 7.0 Mg/m³. As for the magnetic moment: 0.000 μB per formula unit.


2.
VASP calculation (PBE) on BeBi2Sb after structural relaxation.

The structure belongs to space group Fm-3m (No. 225); the cell edges are 7.478, 7.478 and 7.478 Å and the angles 90.00°, 90.00° and 90.00°. The asymmetric unit holds Be at (0.000, 0.000, 0.000), Bi at (0.250, 0.250, 0.250) and Sb at (0.000, 0.000, 0.500).

For the density of states at the Fermi level, the calculation gives 0.570 states/eV/atom. The calculated density comes out at 8.7 Mg/m³. As for the magnetic moment: 0.000 μB per formula unit.


1 is the most stable structure; the next one sits 288 meV/atom above it.


1.
VASP calculation (PBE) on Be2BiSb after structural relaxation.

The structure belongs to space group I-42d (No. 122); the cell edges are 5.182, 5.182 and 13.595 Å and the angles 90.00°, 90.00° and 90.00°. The asymmetric unit holds Be at (0.230, 0.250, 0.125), Bi at (0.000, 0.000, 0.500) and Sb at (0.000, 0.000, 0.000).

For the density of states at the Fermi level, the calculation gives 0.356 states/eV/atom. The calculated density comes out at 6.3 Mg/m³. As for the magnetic moment: 0.000 μB per formula unit.


2.
VASP calculation (PBE) on Be2BiSb after structural relaxation.

The structure belongs to space group Fm-3m (No. 225); the cell edges are 6.800, 6.800 and 6.800 Å and the angles 90.00°, 90.00° and 90.00°. The asymmetric unit holds Be at (0.250, 0.250, 0.250), Bi at (0.000, 0.000, 0.000) and Sb at (0.000, 0.000, 0.500).

For the density of states at the Fermi level, the calculation gives 0.834 states/eV/atom. The calculated density comes out at 7.4 Mg/m³. As for the magnetic moment: 0.000 μB per formula unit.


1 is the most stable structure; the next one sits 396 meV/atom above it.


1.
VASP calculation (PBE) on ScBeBi3 after structural relaxation.

The structure belongs to space group Pm-3m (No. 221); the cell edges are 5.141, 5.141 and 5.141 Å and the angles 90.00°, 90.00° and 90.00°. The asymmetric unit holds Sc at (0.000, 0.000, 0.000), Be at (0.500, 0.500, 0.500) and Bi at (0.000, 0.500, 0.500).

For the density of states at the Fermi level, the calculation gives 1.082 states/eV/atom. The calculated density comes out at 8.3 Mg/m³. As for the magnetic moment: 0.000 μB per formula unit.


2.
VASP calculation (PBE) on ScBeBi3 after structural relaxation.

The structure belongs to space group Pm-3m (No. 221); the cell edges are 5.571, 5.571 and 5.571 Å and the angles 90.00°, 90.00° and 90.00°. The asymmetric unit holds Sc at (0.000, 0.000, 0.000), Be at (0.500, 0.500, 0.500) and Bi at (0.000, 0.000, 0.500).

For the density of states at the Fermi level, the calculation gives 0.729 states/eV/atom. The calculated density comes out at 6.5 Mg/m³. As for the magnetic moment: 0.000 μB per formula unit.


1 is the most stable structure; the next one sits 373 meV/atom above it.


1.
VASP calculation (PBE) on BeBiSe after structural relaxation.

The structure belongs to space group Cm (No. 8); the cell edges are 26.523, 3.498 and 3.498 Å and the angles 90.00°, 97.50° and 90.00°. The asymmetric unit holds Be at (0.000, 0.000, 0.000), Be at (0.000, 0.500, 0.500), Bi at (0.192, 0.000, 0.675), Bi at (0.306, 0.000, 0.787), Se at (0.053, 0.500, 0.053) and Se at (0.447, 0.500, 0.447).

For the density of states at the Fermi level, the calculation gives 0.198 states/eV/atom. The calculated density comes out at 6.1 Mg/m³. As for the magnetic moment: 0.000 μB per formula unit.


2.
VASP calculation (PBE) on BeBiSe after structural relaxation.

The structure belongs to space group P1 (No. 1); the cell edges are 3.582, 3.582 and 13.868 Å and the angles 92.44°, 90.00° and 119.99°. The asymmetric unit holds Be at (0.000, 0.000, 0.000), Be at (0.346, 0.692, 0.110), Bi at (0.582, 0.221, 0.447), Bi at (0.607, 0.271, 0.667), Se at (0.019, 0.037, 0.167) and Se at (0.327, 0.654, 0.943).

For the density of states at the Fermi level, the calculation gives 0.154 states/eV/atom. The calculated density comes out at 6.4 Mg/m³. As for the magnetic moment: 0.000 μB per formula unit.


2 is the most stable structure; the next one sits 33 meV/atom above it.


1.
VASP calculation (PBE) on Be2BiSe after structural relaxation.

The structure belongs to space group Fm-3m (No. 225); the cell edges are 6.585, 6.585 and 6.585 Å and the angles 90.00°, 90.00° and 90.00°. The asymmetric unit holds Be at (0.250, 0.250, 0.250), Bi at (0.000, 0.000, 0.000) and Se at (0.000, 0.000, 0.500).

For the density of states at the Fermi level, the calculation gives 0.497 states/eV/atom. The calculated density comes out at 7.1 Mg/m³. As for the magnetic moment: 0.000 μB per formula unit.


2.
VASP calculation (PBE) on Be2BiSe after structural relaxation.

The structure belongs to space group I-42d (No. 122); the cell edges are 5.607, 5.607 and 10.666 Å and the angles 90.00°, 90.00° and 90.00°. The asymmetric unit holds Be at (0.202, 0.250, 0.125), Bi at (0.000, 0.000, 0.500) and Se at (0.000, 0.000, 0.000).

For the density of states at the Fermi level, the calculation gives 0.593 states/eV/atom. The calculated density comes out at 6.1 Mg/m³. As for the magnetic moment: 0.000 μB per formula unit.


2 is the most stable structure; the next one sits 815 meV/atom above it.


1.
VASP calculation (PBE) on BeBi2Se after structural relaxation.

The structure belongs to space group I-42d (No. 122); the cell edges are 6.244, 6.244 and 12.607 Å and the angles 90.00°, 90.00° and 90.00°. The asymmetric unit holds Be at (0.000, 0.000, 0.000), Bi at (0.189, 0.250, 0.125) and Se at (0.000, 0.000, 0.500).

For the density of states at the Fermi level, the calculation gives 0.366 states/eV/atom. The calculated density comes out at 6.8 Mg/m³. As for the magnetic moment: 0.000 μB per formula unit.


2.
VASP calculation (PBE) on BeBi2Se after structural relaxation.

The structure belongs to space group Fm-3m (No. 225); the cell edges are 7.263, 7.263 and 7.263 Å and the angles 90.00°, 90.00° and 90.00°. The asymmetric unit holds Be at (0.000, 0.000, 0.000), Bi at (0.250, 0.250, 0.250) and Se at (0.000, 0.000, 0.500).

For the density of states at the Fermi level, the calculation gives 0.809 states/eV/atom. The calculated density comes out at 8.8 Mg/m³. As for the magnetic moment: 0.000 μB per formula unit.


1 is the most stable structure; the next one sits 230 meV/atom above it.


1.
VASP calculation (PBE) on Be3SiBi after structural relaxation.

The structure belongs to space group Pm-3m (No. 221); the cell edges are 4.726, 4.726 and 4.726 Å and the angles 90.00°, 90.00° and 90.00°. The asymmetric unit holds Be at (0.000, 0.000, 0.500), Si at (0.500, 0.500, 0.500) and Bi at (0.000, 0.000, 0.000).

For the density of states at the Fermi level, the calculation gives 0.893 states/eV/atom. The calculated density comes out at 4.2 Mg/m³. As for the magnetic moment: 0.000 μB per formula unit.


2.
VASP calculation (PBE) on Be3SiBi after structural relaxation.

The structure belongs to space group Pm-3m (No. 221); the cell edges are 4.367, 4.367 and 4.367 Å and the angles 90.00°, 90.00° and 90.00°. The asymmetric unit holds Be at (0.000, 0.000, 0.500), Si at (0.000, 0.000, 0.000) and Bi at (0.500, 0.500, 0.500).

For the density of states at the Fermi level, the calculation gives 0.509 states/eV/atom. The calculated density comes out at 5.3 Mg/m³. As for the magnetic moment: 0.000 μB per formula unit.


2 is the most stable structure; the next one sits 886 meV/atom above it.


1.
VASP calculation (PBE) on Be2SiBi after structural relaxation.

The structure belongs to space group Fm-3m (No. 225); the cell edges are 6.450, 6.450 and 6.450 Å and the angles 90.00°, 90.00° and 90.00°. The asymmetric unit holds Be at (0.250, 0.250, 0.250), Si at (0.000, 0.000, 0.000) and Bi at (0.000, 0.000, 0.500).

For the density of states at the Fermi level, the calculation gives 0.256 states/eV/atom. The calculated density comes out at 6.3 Mg/m³. As for the magnetic moment: 0.000 μB per formula unit.


2.
VASP calculation (PBE) on Be2SiBi after structural relaxation.

The structure belongs to space group I-42d (No. 122); the cell edges are 4.534, 4.534 and 14.193 Å and the angles 90.00°, 90.00° and 90.00°. The asymmetric unit holds Be at (0.136, 0.250, 0.125), Si at (0.000, 0.000, 0.000) and Bi at (0.000, 0.000, 0.500).

For the density of states at the Fermi level, the calculation gives 0.277 states/eV/atom. The calculated density comes out at 5.8 Mg/m³. As for the magnetic moment: 0.000 μB per formula unit.


2 is the most stable structure; the next one sits 446 meV/atom above it.